Li2HoHf2S6 | Alexandria via LeMat-Bulk | GGA-PBE | optimized geometry; energy relative to the elements, uncorrected = -1644.0 meV/atom; D(E_F) = 3.67 states/eV/cell; symmetry = C2/m
1.0
-3.294 -4.829 2.693
6.252 -0.684 -1.365
0.471 3.998 5.192
S Ho Hf Li
6 1 2 2
Cartesian
2.779 2.299 3.473
0.649 -3.813 3.047
2.520 -1.068 4.838
4.011 -2.354 1.618
0.909 -0.446 1.682
-0.582 0.839 4.902
0.236 1.999 2.596
0.136 -1.442 3.931
3.293 -0.072 2.589
4.669 -1.371 -0.692
-1.711 -4.141 2.020